A relaxed Li2H6Os crystal, computed with PBE.

E above lowest polymorph	51	meV/atom
final energy	-3.82	eV/atom
M_tot	1.94	μB per formula unit

Unit cell a=4.6721 b=4.6721 c=4.6721 alpha=60.00 beta=60.00 gamma=60.00
Last column: magnetic moment on the atom in μB.
Fractional positions:
H 0.2595 0.7405 0.2595  0.03
H 0.7405 0.2595 0.2595  0.03
H 0.2595 0.7405 0.7405  0.03
H 0.7405 0.2595 0.7405  0.03
H 0.7405 0.7405 0.2595  0.03
H 0.2595 0.2595 0.7405  0.03
Os 0.0000 0.0000 0.0000  1.44
Li 0.7500 0.7500 0.7500  0.00
Li 0.2500 0.2500 0.2500  0.00